Density functional theory data (PBE+U) for an optimized crystal structure of Pa2CoHgO8.

a b c (Å): 5.379 5.379 6.680
angles (deg): 113.74 113.74 90.00
Last column: magnetic moment on the atom in μB.
Fractional positions:
Pa: 0.500 0.500 0.000  0.06
Pa: 0.250 0.750 0.500  0.08
Co: 0.750 0.250 0.500  3.14
Hg: 0.000 0.000 0.000  0.02
O: 0.841 0.927 0.334  0.31
O: 0.493 0.407 0.334  0.31
O: 0.585 0.714 0.812  0.03
O: 0.227 0.099 0.812  0.03
O: 0.901 0.415 0.188  0.03
O: 0.286 0.773 0.188  0.03
O: 0.073 0.507 0.666  0.31
O: 0.593 0.159 0.666  0.31

Values from the calculation:
E_tot ... -7.55 eV/atom